{
  "formula": "FeSn2GeBr",
  "functional": "PBE",
  "state": "optimized geometry",
  "spacegroup": "P4/mmm, No. 123",
  "raw_formation_energy_ev_per_atom": 0.954,
  "polymorph_energy_ev_per_atom": 1.0588,
  "cell": [[5.549, 0.000, 0.000], [0.000, 4.339, 0.000], [0.000, 0.000, 5.549]],
  "species": ["Ge", "Sn", "Sn", "Br", "Fe"],
  "fractional_positions": [[0.500, 0.500, 0.500], [0.000, 0.000, 0.500], [0.500, 0.000, 0.000], [0.000, 0.000, 0.000], [0.000, 0.500, 0.000]]
}


{
  "formula": "FeH3Br",
  "functional": "PBE",
  "state": "optimized geometry",
  "spacegroup": "Pm-3m, No. 221",
  "polymorph_energy_ev_per_atom": 0.7830,
  "cell": [[3.887, 0.000, 0.000], [0.000, 3.887, 0.000], [0.000, 0.000, 3.887]],
  "species": ["H", "H", "H", "Fe", "Br"],
  "fractional_positions": [[0.000, 0.500, 0.000], [0.000, 0.000, 0.500], [0.500, 0.000, 0.000], [0.500, 0.500, 0.500], [0.000, 0.000, 0.000]]
}


{
  "formula": "FeH2Br6",
  "functional": "PBE",
  "state": "optimized geometry",
  "spacegroup": "C2/c, No. 15",
  "final_energy_ev_per_atom": -3.070,
  "cell": [[7.604, -0.497, 3.715], [2.441, 9.057, 3.139], [-1.107, 2.454, 9.518]],
  "species": ["Fe", "Fe", "H", "H", "H", "H", "Br", "Br", "Br", "Br", "Br", "Br", "Br", "Br", "Br", "Br", "Br", "Br"],
  "fractional_positions": [[0.250, 0.813, 0.187], [0.750, 0.187, 0.813], [0.457, 0.391, 0.327], [0.043, 0.673, 0.609], [0.543, 0.609, 0.673], [0.957, 0.327, 0.391], [0.922, 0.390, 0.233], [0.578, 0.767, 0.610], [0.078, 0.610, 0.767], [0.422, 0.233, 0.390], [0.008, 0.244, 0.657], [0.492, 0.343, 0.756], [0.992, 0.756, 0.343], [0.508, 0.657, 0.244], [0.761, 0.202, 0.031], [0.739, 0.969, 0.798], [0.239, 0.798, 0.969], [0.261, 0.031, 0.202]]
}


{
  "formula": "FeH2Br8",
  "functional": "PBE",
  "state": "optimized geometry",
  "spacegroup": "C2/m, No. 12",
  "final_energy_ev_per_atom": -2.743,
  "cell": [[-0.941, 0.139, -5.512], [7.403, -4.623, -1.374], [-3.065, -8.281, 0.322]],
  "species": ["Fe", "H", "H", "Br", "Br", "Br", "Br", "Br", "Br", "Br", "Br"],
  "fractional_positions": [[0.000, 0.000, 0.000], [0.294, 0.283, 0.283], [0.706, 0.717, 0.717], [0.738, 0.173, 0.802], [0.262, 0.198, 0.827], [0.948, 0.171, 0.171], [0.052, 0.829, 0.829], [0.738, 0.802, 0.173], [0.262, 0.827, 0.198], [0.464, 0.363, 0.363], [0.536, 0.637, 0.637]]
}


{
  "formula": "FeHBr5",
  "functional": "PBE",
  "state": "optimized geometry",
  "spacegroup": "Pnma, No. 62",
  "final_energy_ev_per_atom": -3.164,
  "cell": [[8.720, 0.000, 0.000], [0.000, 9.894, 0.000], [0.000, 0.000, 12.283]],
  "species": ["Fe", "Fe", "Fe", "Fe", "H", "H", "H", "H", "Br", "Br", "Br", "Br", "Br", "Br", "Br", "Br", "Br", "Br", "Br", "Br", "Br", "Br", "Br", "Br", "Br", "Br", "Br", "Br"],
  "fractional_positions": [[0.750, 0.628, 0.126], [0.250, 0.128, 0.374], [0.750, 0.872, 0.626], [0.250, 0.372, 0.874], [0.750, 0.257, 0.640], [0.250, 0.757, 0.860], [0.750, 0.243, 0.140], [0.250, 0.743, 0.360], [0.473, 0.256, 0.850], [0.027, 0.256, 0.850], [0.527, 0.744, 0.150], [0.973, 0.744, 0.150], [0.473, 0.244, 0.350], [0.527, 0.756, 0.650], [0.973, 0.756, 0.650], [0.027, 0.244, 0.350], [0.250, 0.891, 0.907], [0.750, 0.109, 0.093], [0.250, 0.609, 0.407], [0.750, 0.391, 0.593], [0.250, 0.965, 0.238], [0.750, 0.465, 0.262], [0.750, 0.035, 0.762], [0.250, 0.535, 0.738], [0.250, 0.058, 0.550], [0.250, 0.442, 0.050], [0.750, 0.942, 0.450], [0.750, 0.558, 0.950]]
}


{
  "formula": "FeH3Br",
  "functional": "PBE",
  "state": "optimized geometry",
  "spacegroup": "Pm-3m, No. 221",
  "polymorph_energy_ev_per_atom": 0.0000,
  "cell": [[3.621, 0.000, 0.000], [0.000, 3.621, 0.000], [0.000, 0.000, 3.621]],
  "species": ["H", "H", "H", "Fe", "Br"],
  "fractional_positions": [[0.000, 0.500, 0.000], [0.000, 0.000, 0.500], [0.500, 0.000, 0.000], [0.000, 0.000, 0.000], [0.500, 0.500, 0.500]]
}


{
  "formula": "FeHBr4",
  "functional": "PBE",
  "state": "optimized geometry",
  "spacegroup": "Cc, No. 9",
  "final_energy_ev_per_atom": -3.460,
  "cell": [[8.282, 0.610, -2.158], [-3.388, 6.704, -2.899], [-0.007, -0.533, 8.034]],
  "species": ["Fe", "Fe", "H", "H", "Br", "Br", "Br", "Br", "Br", "Br", "Br", "Br"],
  "fractional_positions": [[0.377, 0.989, 0.268], [0.877, 0.268, 0.989], [0.609, 0.363, 0.702], [0.109, 0.702, 0.363], [0.274, 0.936, 0.950], [0.067, 0.487, 0.354], [0.138, 0.937, 0.376], [0.535, 0.813, 0.325], [0.567, 0.354, 0.487], [0.774, 0.950, 0.936], [0.638, 0.376, 0.937], [0.035, 0.325, 0.813]]
}


{
  "formula": "FeH2Br",
  "functional": "PBE",
  "state": "optimized geometry",
  "spacegroup": "Fm-3m, No. 225",
  "polymorph_energy_ev_per_atom": 0.8363,
  "cell": [[0.000, 2.673, 2.673], [2.673, 0.000, 2.673], [2.673, 2.673, 0.000]],
  "species": ["H", "H", "Fe", "Br"],
  "fractional_positions": [[0.250, 0.250, 0.250], [0.750, 0.750, 0.750], [0.000, 0.000, 0.000], [0.500, 0.500, 0.500]]
}


{
  "formula": "FeH2Br5",
  "functional": "PBE",
  "state": "optimized geometry",
  "spacegroup": "P2_1/m, No. 11",
  "final_energy_ev_per_atom": -3.263,
  "cell": [[3.665, -1.500, 0.000], [-5.575, 12.478, 0.000], [0.000, 0.000, 14.746]],
  "species": ["Fe", "Fe", "H", "H", "H", "H", "Br", "Br", "Br", "Br", "Br", "Br", "Br", "Br", "Br", "Br"],
  "fractional_positions": [[0.226, 0.171, 0.750], [0.774, 0.829, 0.250], [0.942, 0.744, 0.617], [0.942, 0.744, 0.883], [0.058, 0.256, 0.383], [0.058, 0.256, 0.117], [0.889, 0.036, 0.879], [0.889, 0.036, 0.621], [0.434, 0.646, 0.593], [0.434, 0.646, 0.907], [0.878, 0.671, 0.250], [0.122, 0.329, 0.750], [0.566, 0.354, 0.407], [0.566, 0.354, 0.093], [0.111, 0.964, 0.121], [0.111, 0.964, 0.379]]
}


{
  "formula": "FeH2Br",
  "functional": "PBE",
  "state": "optimized geometry",
  "spacegroup": "I-42d, No. 122",
  "polymorph_energy_ev_per_atom": 0.0000,
  "cell": [[6.009, 0.000, 0.000], [0.000, 6.009, 0.000], [3.005, 3.005, 2.748]],
  "species": ["H", "H", "H", "H", "Fe", "Fe", "Br", "Br"],
  "fractional_positions": [[0.314, 0.125, 0.250], [0.436, 0.625, 0.250], [0.375, 0.686, 0.750], [0.875, 0.564, 0.750], [0.500, 0.500, 0.000], [0.250, 0.750, 0.500], [0.000, 0.000, 0.000], [0.750, 0.250, 0.500]]
}


{
  "formula": "Fe2H2Br7",
  "functional": "PBE",
  "state": "optimized geometry",
  "spacegroup": "C2/m, No. 12",
  "final_energy_ev_per_atom": -3.551,
  "cell": [[-3.792, -1.026, 7.893], [-4.725, -5.155, 0.334], [3.409, -8.130, 0.126]],
  "species": ["Fe", "Fe", "H", "H", "Br", "Br", "Br", "Br", "Br", "Br", "Br"],
  "fractional_positions": [[0.760, 0.652, 0.760], [0.240, 0.348, 0.240], [0.652, 0.000, 0.348], [0.348, 0.000, 0.652], [0.177, 0.094, 0.490], [0.510, 0.906, 0.823], [0.823, 0.906, 0.510], [0.490, 0.094, 0.177], [0.000, 0.500, 0.000], [0.264, 0.646, 0.264], [0.736, 0.354, 0.736]]
}


{
  "formula": "Fe2HBr",
  "functional": "PBE",
  "state": "optimized geometry",
  "spacegroup": "Fm-3m, No. 225",
  "polymorph_energy_ev_per_atom": 0.5106,
  "cell": [[-3.515, -1.503, 0.722], [-2.302, 1.634, 2.676], [-3.200, 1.921, -1.098]],
  "species": ["H", "Fe", "Fe", "Br"],
  "fractional_positions": [[0.000, 0.000, 0.000], [0.250, 0.250, 0.250], [0.750, 0.750, 0.750], [0.500, 0.500, 0.500]]
}